Material: ZnFe2Se
Method: DFT, GGA-PBE
State: relaxed

```
ZnFe2Se
1.0
8.235 -0.007 -0.004
7.705 2.908 -0.004
7.705 1.402 2.548
Fe Se Zn
2 1 1
Direct
0.991 0.991 0.991
0.253 0.253 0.253
0.516 0.516 0.516
0.739 0.739 0.739
```

symmetry: No. 160
offset from the most stable computed form: 104.5 meV/atom
electronic total energy: -5.241 eV/atom